Material: CuAg2Br
Method: DFT, PBE
State: optimized geometry

Cell: 3.395 3.395 6.634 Å, 90.00 90.00 90.00°
Space group P4/mmm (No. 123)
Inequivalent atoms, fractional coordinates:
Cu: 0.000 0.000 0.000 (multiplicity 1)
Ag: 0.500 0.500 0.207 (multiplicity 2)
Br: 0.000 0.000 0.500 (multiplicity 1)

Values from the calculation:
Formation energy from raw total energies, meV/atom: 100.0
Excess energy over the best structure of this formula in the dataset, meV/atom: 64